# SmSc3O6 PBE-GGA optimized geometry
data_SmSc3O6
_symmetry_space_group_name_H-M 'P 1 21/m 1'
_symmetry_Int_Tables_number 11
_cell_length_a 8.775
_cell_length_b 3.239
_cell_length_c 8.913
_cell_angle_alpha 90.00
_cell_angle_beta 108.22
_cell_angle_gamma 90.00
loop_
_symmetry_equiv_pos_as_xyz
'x,y,z'
'-x,-y,-z'
'-x,y+1/2,-z'
'x,-y+1/2,z'
loop_
_atom_site_label
_atom_site_fract_x
_atom_site_fract_y
_atom_site_fract_z
Sm1 0.060 0.250 0.198
Sc1 0.168 0.250 0.593
Sc2 0.325 0.750 0.992
Sc3 0.457 0.250 0.331
O1 0.075 0.750 0.410
O2 0.122 0.250 0.956
O3 0.208 0.750 0.742
O4 0.285 0.750 0.232
O5 0.395 0.250 0.556
O6 0.466 0.250 0.101
# Size of the total moment   0.0 Bohr magnetons per cell
# DOS(E_F)   0.0 states/eV per cell
# ΔE_f (raw)   -3475 meV/atom

***

# Sm2Sc2O PBE-GGA optimized geometry
data_Sm2Sc2O
_symmetry_space_group_name_H-M 'P 4/m m m'
_symmetry_Int_Tables_number 123
_symmetry_space_group_name_Hall '-P 4 2'
_cell_length_a 5.150
_cell_length_b 5.150
_cell_length_c 4.252
_cell_angle_alpha 90.00
_cell_angle_beta 90.00
_cell_angle_gamma 90.00
loop_
_atom_site_label
_atom_site_fract_x
_atom_site_fract_y
_atom_site_fract_z
Sm1 0.000 0.500 0.000
Sc1 0.000 0.000 0.500
Sc2 0.500 0.500 0.500
O1 0.000 0.000 0.000
# Size of the total moment   0.0 Bohr magnetons per cell
# DOS(E_F)   4.1 states/eV per cell
# ΔE_f (raw)   -1169 meV/atom

***

# Sm3ScO PBE-GGA optimized geometry
data_Sm3ScO
_symmetry_space_group_name_H-M 'P m -3 m'
_symmetry_Int_Tables_number 221
_symmetry_space_group_name_Hall '-P 4 2 3'
_cell_length_a 4.963
_cell_length_b 4.963
_cell_length_c 4.963
_cell_angle_alpha 90.00
_cell_angle_beta 90.00
_cell_angle_gamma 90.00
loop_
_atom_site_label
_atom_site_fract_x
_atom_site_fract_y
_atom_site_fract_z
Sm1 0.000 0.000 0.500
Sc1 0.500 0.500 0.500
O1 0.000 0.000 0.000
# Size of the total moment   0.0 Bohr magnetons per cell
# DOS(E_F)   4.2 states/eV per cell
# ΔE_f (raw)   -1127 meV/atom

***

# Sm3ScO6 PBE-GGA optimized geometry
data_Sm3ScO6
_symmetry_space_group_name_H-M 'R -3'
_symmetry_Int_Tables_number 148
_symmetry_space_group_name_Hall '-R 3'
_cell_length_a 9.7356
_cell_length_b 9.7356
_cell_length_c 11.2377
_cell_angle_alpha 90.00
_cell_angle_beta 90.00
_cell_angle_gamma 120.00
loop_
_atom_site_label
_atom_site_fract_x
_atom_site_fract_y
_atom_site_fract_z
Sm1 0.0408 0.2669 0.2057
Sc1 0.0000 0.0000 0.0000
Sc2 0.0000 0.0000 0.5000
O1 0.0275 0.1837 0.8821
O2 0.0286 0.2070 0.4046
# Size of the total moment   0.0 Bohr magnetons per cell
# DOS(E_F)   0.0 states/eV per cell
# ΔE_f (raw)   -3477 meV/atom
# Excess energy over the best structure of this formula in the dataset   0 meV per atom

***

# Sm3ScO6 PBE-GGA optimized geometry
data_Sm3ScO6
_symmetry_space_group_name_H-M 'C m c 21'
_symmetry_Int_Tables_number 36
_cell_length_a 9.198
_cell_length_b 11.374
_cell_length_c 5.685
_cell_angle_alpha 90.00
_cell_angle_beta 90.00
_cell_angle_gamma 90.00
loop_
_symmetry_equiv_pos_as_xyz
'x,y,z'
'-x,-y,z+1/2'
'-x,y,z'
'x,-y,z+1/2'
'x+1/2,y+1/2,z'
'-x+1/2,-y+1/2,z+1/2'
'-x+1/2,y+1/2,z'
'x+1/2,-y+1/2,z+1/2'
loop_
_atom_site_label
_atom_site_fract_x
_atom_site_fract_y
_atom_site_fract_z
Sm1 0.000 0.103 0.000
Sm2 0.196 0.391 0.951
Sc1 0.000 0.325 0.429
O1 0.000 0.280 0.775
O2 0.000 0.473 0.217
O3 0.156 0.244 0.254
O4 0.160 0.014 0.726
# Size of the total moment   0.0 Bohr magnetons per cell
# DOS(E_F)   0.0 states/eV per cell
# ΔE_f (raw)   -3424 meV/atom
# Excess energy over the best structure of this formula in the dataset   53 meV per atom

***

# Sm2Sc2O5 PBE-GGA optimized geometry
data_Sm2Sc2O5
_symmetry_space_group_name_H-M 'I m a 2'
_symmetry_Int_Tables_number 46
_cell_length_a 15.867
_cell_length_b 5.662
_cell_length_c 5.685
_cell_angle_alpha 90.00
_cell_angle_beta 90.00
_cell_angle_gamma 90.00
loop_
_symmetry_equiv_pos_as_xyz
'x,y,z'
'-x,-y,z'
'-x+1/2,y,z'
'x+1/2,-y,z'
'x+1/2,y+1/2,z+1/2'
'-x+1/2,-y+1/2,z+1/2'
'-x,y+1/2,z+1/2'
'x,-y+1/2,z+1/2'
loop_
_atom_site_label
_atom_site_fract_x
_atom_site_fract_y
_atom_site_fract_z
Sm1 0.134 0.023 0.000
Sc1 0.000 0.000 0.523
Sc2 0.250 0.537 0.030
O1 0.044 0.236 0.268
O2 0.125 0.621 0.076
O3 0.250 0.238 0.269
# Size of the total moment   0.0 Bohr magnetons per cell
# DOS(E_F)   1.6 states/eV per cell
# ΔE_f (raw)   -3127 meV/atom

***

# Sm2Sc2Sn2O PBE-GGA optimized geometry
data_Sm2Sc2Sn2O
_symmetry_space_group_name_H-M 'I 4/m m m'
_symmetry_Int_Tables_number 139
_symmetry_space_group_name_Hall '-I 4 2'
_cell_length_a 4.429
_cell_length_b 4.429
_cell_length_c 16.432
_cell_angle_alpha 90.00
_cell_angle_beta 90.00
_cell_angle_gamma 90.00
loop_
_atom_site_label
_atom_site_fract_x
_atom_site_fract_y
_atom_site_fract_z
Sm1 0.000 0.000 0.170
Sc1 0.000 0.500 0.000
Sn1 0.000 0.000 0.368
O1 0.000 0.000 0.000
# Size of the total moment   0.8 Bohr magnetons per cell
# DOS(E_F)   15.3 states/eV per cell
# ΔE_f (raw)   -1409 meV/atom

***

# SmSc2TaO8 PBE-GGA optimized geometry
data_SmSc2TaO8
_symmetry_space_group_name_H-M 'C m m m'
_symmetry_Int_Tables_number 65
_symmetry_space_group_name_Hall '-C 2 2'
_cell_length_a 6.887
_cell_length_b 6.934
_cell_length_c 6.763
_cell_angle_alpha 90.00
_cell_angle_beta 90.00
_cell_angle_gamma 90.00
loop_
_atom_site_label
_atom_site_fract_x
_atom_site_fract_y
_atom_site_fract_z
Sm1 0.000 0.000 0.000
Sc1 0.000 0.500 0.257
Ta1 0.000 0.000 0.500
O1 0.000 0.293 0.500
O2 0.000 0.327 0.000
O3 0.197 0.000 0.285
# Size of the total moment   3.8 Bohr magnetons per cell
# DOS(E_F)   15.0 states/eV per cell
# ΔE_f (raw)   -2856 meV/atom

***

# TbSm2ScO6 PBE-GGA optimized geometry
data_TbSm2ScO6
_symmetry_space_group_name_H-M 'R 3'
_symmetry_Int_Tables_number 146
_symmetry_space_group_name_Hall 'R 3'
_cell_length_a 5.8098
_cell_length_b 5.8098
_cell_length_c 14.9649
_cell_angle_alpha 90.00
_cell_angle_beta 90.00
_cell_angle_gamma 120.00
loop_
_atom_site_label
_atom_site_fract_x
_atom_site_fract_y
_atom_site_fract_z
Tb1 0.0000 0.0000 0.0000
Sm1 0.0000 0.0000 0.2763
Sm2 0.0000 0.0000 0.7784
Sc1 0.0000 0.0000 0.4953
O1 0.0537 0.3481 0.5600
O2 0.0618 0.6880 0.0638
# Size of the total moment   0.0 Bohr magnetons per cell
# DOS(E_F)   0.0 states/eV per cell
# ΔE_f (raw)   -3445 meV/atom

***

# SmScTeO2 PBE-GGA optimized geometry
data_SmScTeO2
_symmetry_space_group_name_H-M 'P 1 21/m 1'
_symmetry_Int_Tables_number 11
_cell_length_a 6.768
_cell_length_b 4.061
_cell_length_c 7.591
_cell_angle_alpha 90.00
_cell_angle_beta 108.87
_cell_angle_gamma 90.00
loop_
_symmetry_equiv_pos_as_xyz
'x,y,z'
'-x,-y,-z'
'-x,y+1/2,-z'
'x,-y+1/2,z'
loop_
_atom_site_label
_atom_site_fract_x
_atom_site_fract_y
_atom_site_fract_z
Sm1 0.184 0.250 0.430
Sc1 0.139 0.250 0.916
Te1 0.460 0.750 0.761
O1 0.016 0.750 0.366
O2 0.021 0.750 0.894
# Size of the total moment   0.0 Bohr magnetons per cell
# ΔE_f (raw)   -2838 meV/atom

***

# SmScTe2O PBE-GGA optimized geometry
data_SmScTe2O
_symmetry_space_group_name_H-M 'P 4/n m m'
_symmetry_Int_Tables_number 129
_cell_length_a 4.103
_cell_length_b 4.103
_cell_length_c 15.104
_cell_angle_alpha 90.00
_cell_angle_beta 90.00
_cell_angle_gamma 90.00
loop_
_symmetry_equiv_pos_as_xyz
'x,y,z'
'-x,-y,-z'
'-y+1/2,x,z'
'y+1/2,-x,-z'
'-x+1/2,-y+1/2,z'
'x+1/2,y+1/2,-z'
'y,-x+1/2,z'
'-y,x+1/2,-z'
'x+1/2,-y,-z'
'-x+1/2,y,z'
'-y,-x,-z'
'y,x,z'
'-x,y+1/2,-z'
'x,-y+1/2,z'
'y+1/2,x+1/2,-z'
'-y+1/2,-x+1/2,z'
loop_
_atom_site_label
_atom_site_fract_x
_atom_site_fract_y
_atom_site_fract_z
Sm1 0.250 0.250 0.074
Sc1 0.250 0.250 0.619
Te1 0.250 0.250 0.413
Te2 0.250 0.250 0.800
O1 0.250 0.750 0.000
# Size of the total moment   0.0 Bohr magnetons per cell
# DOS(E_F)   3.0 states/eV per cell
# ΔE_f (raw)   -2001 meV/atom

***

# SmScTeO6 PBE-GGA optimized geometry
data_SmScTeO6
_symmetry_space_group_name_H-M 'P -3 1 c'
_symmetry_Int_Tables_number 163
_symmetry_space_group_name_Hall '-P 3 2c'
_cell_length_a 5.3639
_cell_length_b 5.3639
_cell_length_c 9.9433
_cell_angle_alpha 90.00
_cell_angle_beta 90.00
_cell_angle_gamma 120.00
loop_
_atom_site_label
_atom_site_fract_x
_atom_site_fract_y
_atom_site_fract_z
Sm1 0.0000 0.0000 0.0000
Sc1 0.3333 0.6667 0.2500
Te1 0.3333 0.6667 0.7500
O1 0.0238 0.3731 0.6400
# Size of the total moment   0.0 Bohr magnetons per cell
# DOS(E_F)   0.0 states/eV per cell
# ΔE_f (raw)   -2465 meV/atom

***

# SmScTl2O6 PBE-GGA optimized geometry
data_SmScTl2O6
_symmetry_space_group_name_H-M 'R 3'
_symmetry_Int_Tables_number 146
_symmetry_space_group_name_Hall 'R 3'
_cell_length_a 5.7580
_cell_length_b 5.7580
_cell_length_c 15.2393
_cell_angle_alpha 90.00
_cell_angle_beta 90.00
_cell_angle_gamma 120.00
loop_
_atom_site_label
_atom_site_fract_x
_atom_site_fract_y
_atom_site_fract_z
Sm1 0.0000 0.0000 0.0000
Sc1 0.0000 0.0000 0.4924
Tl1 0.0000 0.0000 0.2754
Tl2 0.0000 0.0000 0.7805
O1 0.0385 0.3450 0.5578
O2 0.0516 0.6679 0.0636
# Size of the total moment   0.0 Bohr magnetons per cell
# ΔE_f (raw)   -2022 meV/atom

***

# Sm2Sc2Tl2O PBE-GGA optimized geometry
data_Sm2Sc2Tl2O
_symmetry_space_group_name_H-M 'I 4/m m m'
_symmetry_Int_Tables_number 139
_symmetry_space_group_name_Hall '-I 4 2'
_cell_length_a 4.489
_cell_length_b 4.489
_cell_length_c 16.266
_cell_angle_alpha 90.00
_cell_angle_beta 90.00
_cell_angle_gamma 90.00
loop_
_atom_site_label
_atom_site_fract_x
_atom_site_fract_y
_atom_site_fract_z
Sm1 0.000 0.000 0.167
Sc1 0.000 0.500 0.000
Tl1 0.000 0.000 0.368
O1 0.000 0.000 0.000
# Size of the total moment   0.0 Bohr magnetons per cell
# DOS(E_F)   5.8 states/eV per cell
# ΔE_f (raw)   -1143 meV/atom

***

# Sm2YScO6 PBE-GGA optimized geometry
data_Sm2YScO6
_symmetry_space_group_name_H-M 'R 3'
_symmetry_Int_Tables_number 146
_symmetry_space_group_name_Hall 'R 3'
_cell_length_a 5.8034
_cell_length_b 5.8034
_cell_length_c 14.9413
_cell_angle_alpha 90.00
_cell_angle_beta 90.00
_cell_angle_gamma 120.00
loop_
_atom_site_label
_atom_site_fract_x
_atom_site_fract_y
_atom_site_fract_z
Sm1 0.0000 0.0000 0.0000
Sm2 0.0000 0.0000 0.4983
Y1 0.0000 0.0000 0.2215
Sc1 0.0000 0.0000 0.7175
O1 0.0544 0.3481 0.7823
O2 0.0623 0.6899 0.2859
# Size of the total moment   0.0 Bohr magnetons per cell
# DOS(E_F)   0.0 states/eV per cell
# ΔE_f (raw)   -3444 meV/atom

***

# Sc4SnO PBE-GGA optimized geometry
data_Sc4SnO
_symmetry_space_group_name_H-M 'C 1 2/c 1'
_symmetry_Int_Tables_number 15
_cell_length_a 14.095
_cell_length_b 5.351
_cell_length_c 6.482
_cell_angle_alpha 90.00
_cell_angle_beta 106.28
_cell_angle_gamma 90.00
loop_
_symmetry_equiv_pos_as_xyz
'x,y,z'
'-x,-y,-z'
'-x,y,-z+1/2'
'x,-y,z+1/2'
'x+1/2,y+1/2,z'
'-x+1/2,-y+1/2,-z'
'-x+1/2,y+1/2,-z+1/2'
'x+1/2,-y+1/2,z+1/2'
loop_
_atom_site_label
_atom_site_fract_x
_atom_site_fract_y
_atom_site_fract_z
Sc1 0.105 0.055 0.431
Sc2 0.199 0.451 0.185
Sn1 0.000 0.429 0.750
O1 0.250 0.250 0.500
# Size of the total moment   0.0 Bohr magnetons per cell
# DOS(E_F)   15.9 states/eV per cell
# ΔE_f (raw)   -1211 meV/atom

***

# Sc6Sn2O PBE-GGA optimized geometry
data_Sc6Sn2O
_symmetry_space_group_name_H-M 'I 4/m m m'
_symmetry_Int_Tables_number 139
_symmetry_space_group_name_Hall '-I 4 2'
_cell_length_a 6.342
_cell_length_b 6.342
_cell_length_c 9.012
_cell_angle_alpha 90.00
_cell_angle_beta 90.00
_cell_angle_gamma 90.00
loop_
_atom_site_label
_atom_site_fract_x
_atom_site_fract_y
_atom_site_fract_z
Sc1 0.000 0.000 0.247
Sc2 0.249 0.249 0.000
Sn1 0.000 0.500 0.250
O1 0.000 0.000 0.000
# Size of the total moment   0.0 Bohr magnetons per cell
# DOS(E_F)   21.0 states/eV per cell
# ΔE_f (raw)   -1030 meV/atom
# Excess energy over the best structure of this formula in the dataset   33 meV per atom

***

# Sc5Sn4O PBE-GGA optimized geometry
data_Sc5Sn4O
_symmetry_space_group_name_H-M 'I 4'
_symmetry_Int_Tables_number 79
_cell_length_a 8.736
_cell_length_b 8.736
_cell_length_c 5.811
_cell_angle_alpha 90.00
_cell_angle_beta 90.00
_cell_angle_gamma 90.00
loop_
_symmetry_equiv_pos_as_xyz
'x,y,z'
'-y,x,z'
'-x,-y,z'
'y,-x,z'
'x+1/2,y+1/2,z+1/2'
'-y+1/2,x+1/2,z+1/2'
'-x+1/2,-y+1/2,z+1/2'
'y+1/2,-x+1/2,z+1/2'
loop_
_atom_site_label
_atom_site_fract_x
_atom_site_fract_y
_atom_site_fract_z
Sc1 0.000 0.000 0.000
Sc2 0.115 0.773 0.568
Sn1 0.062 0.667 0.071
O1 0.000 0.000 0.628
# Size of the total moment   0.0 Bohr magnetons per cell
# DOS(E_F)   18.6 states/eV per cell
# ΔE_f (raw)   -892 meV/atom

***

# Sc3SnO PBE-GGA optimized geometry
data_Sc3SnO
_symmetry_space_group_name_H-M 'C 1 2/m 1'
_symmetry_Int_Tables_number 12
_cell_length_a 11.427
_cell_length_b 4.006
_cell_length_c 9.141
_cell_angle_alpha 90.00
_cell_angle_beta 112.05
_cell_angle_gamma 90.00
loop_
_symmetry_equiv_pos_as_xyz
'x,y,z'
'-x,-y,-z'
'-x,y,-z'
'x,-y,z'
'x+1/2,y+1/2,z'
'-x+1/2,-y+1/2,-z'
'-x+1/2,y+1/2,-z'
'x+1/2,-y+1/2,z'
loop_
_atom_site_label
_atom_site_fract_x
_atom_site_fract_y
_atom_site_fract_z
Sc1 0.102 0.000 0.420
Sc2 0.127 0.000 0.940
Sc3 0.155 0.500 0.699
Sn1 0.104 0.500 0.180
O1 0.093 0.000 0.668
# Size of the total moment   0.0 Bohr magnetons per cell
# DOS(E_F)   18.2 states/eV per cell
# ΔE_f (raw)   -1405 meV/atom

***

# Sc4Sn2O PBE-GGA optimized geometry
data_Sc4Sn2O
_symmetry_space_group_name_H-M 'P b a m'
_symmetry_Int_Tables_number 55
_cell_length_a 7.736
_cell_length_b 10.870
_cell_length_c 3.387
_cell_angle_alpha 90.00
_cell_angle_beta 90.00
_cell_angle_gamma 90.00
loop_
_symmetry_equiv_pos_as_xyz
'x,y,z'
'-x,-y,-z'
'-x,-y,z'
'x,y,-z'
'x+1/2,-y+1/2,-z'
'-x+1/2,y+1/2,z'
'-x+1/2,y+1/2,-z'
'x+1/2,-y+1/2,z'
loop_
_atom_site_label
_atom_site_fract_x
_atom_site_fract_y
_atom_site_fract_z
Sc1 0.128 0.181 0.000
Sc2 0.173 0.933 0.500
Sn1 0.060 0.642 0.500
O1 0.000 0.000 0.000
# Size of the total moment   0.0 Bohr magnetons per cell
# DOS(E_F)   9.7 states/eV per cell
# ΔE_f (raw)   -1175 meV/atom
# Excess energy over the best structure of this formula in the dataset   122 meV per atom